# YAl2Cu2, relaxed, DFT PBE-GGA
data_YAl2Cu2
_cell_length_a 7.668
_cell_length_b 7.668
_cell_length_c 2.824
_cell_angle_alpha 90.00
_cell_angle_beta 90.00
_cell_angle_gamma 90.00
_symmetry_space_group_name_H-M 'P 4/m b m'
_symmetry_Int_Tables_number 127
_symmetry_space_group_name_Hall '-P 4 2ab'
loop_
_atom_site_label
_atom_site_type_symbol
_atom_site_fract_x
_atom_site_fract_y
_atom_site_fract_z
Y1 Y 0.000 0.000 0.000
Al1 Al 0.162 0.338 0.500
Cu1 Cu 0.126 0.626 0.000
# Energy of formation = -0.1909 eV per atom

# Y2AlCu2, relaxed, DFT PBE-GGA
data_Y2AlCu2
_cell_length_a 5.488
_cell_length_b 5.488
_cell_length_c 7.263
_cell_angle_alpha 90.00
_cell_angle_beta 90.00
_cell_angle_gamma 90.00
_symmetry_space_group_name_H-M 'I 4/m m m'
_symmetry_Int_Tables_number 139
_symmetry_space_group_name_Hall '-I 4 2'
loop_
_atom_site_label
_atom_site_type_symbol
_atom_site_fract_x
_atom_site_fract_y
_atom_site_fract_z
Y1 Y 0.000 0.500 0.250
Al1 Al 0.000 0.000 0.000
Cu1 Cu 0.000 0.000 0.345
# Energy of formation = -0.1226 eV per atom

# Y2Al5Cu3, relaxed, DFT PBE-GGA
data_Y2Al5Cu3
_cell_length_a 11.893
_cell_length_b 11.723
_cell_length_c 5.870
_cell_angle_alpha 90.00
_cell_angle_beta 119.40
_cell_angle_gamma 90.00
_symmetry_space_group_name_H-M 'C 1 2/c 1'
_symmetry_Int_Tables_number 15
loop_
_symmetry_equiv_pos_as_xyz
'x,y,z'
'-x,-y,-z'
'-x,y,-z+1/2'
'x,-y,z+1/2'
'x+1/2,y+1/2,z'
'-x+1/2,-y+1/2,-z'
'-x+1/2,y+1/2,-z+1/2'
'x+1/2,-y+1/2,z+1/2'
loop_
_atom_site_label
_atom_site_type_symbol
_atom_site_fract_x
_atom_site_fract_y
_atom_site_fract_z
Y1 Y 0.242 0.132 0.242
Al1 Al 0.000 0.000 0.250
Al2 Al 0.000 0.255 0.250
Al3 Al 0.000 0.256 0.750
Al4 Al 0.147 0.392 0.147
Cu1 Cu 0.000 0.499 0.750
Cu2 Cu 0.125 0.128 0.625
# Energy of formation = -0.4443 eV per atom
# Distance to the lowest polymorph of the same formula = 0 meV/atom

# Y2Al5Cu5, relaxed, DFT PBE-GGA
data_Y2Al5Cu5
_cell_length_a 4.119
_cell_length_b 5.289
_cell_length_c 9.029
_cell_angle_alpha 90.00
_cell_angle_beta 90.00
_cell_angle_gamma 90.00
_symmetry_space_group_name_H-M 'P m m m'
_symmetry_Int_Tables_number 47
loop_
_symmetry_equiv_pos_as_xyz
'x,y,z'
'-x,-y,-z'
'-x,-y,z'
'x,y,-z'
'x,-y,-z'
'-x,y,z'
'-x,y,-z'
'x,-y,z'
loop_
_atom_site_label
_atom_site_type_symbol
_atom_site_fract_x
_atom_site_fract_y
_atom_site_fract_z
Y1 Y 0.000 0.000 0.000
Y2 Y 0.000 0.500 0.500
Al1 Al 0.500 0.000 0.500
Al2 Al 0.500 0.251 0.239
Cu1 Cu 0.000 0.000 0.333
Cu2 Cu 0.000 0.500 0.166
Cu3 Cu 0.500 0.500 0.000
# Energy of formation = -0.4448 eV per atom

Listing volume for the structures above in their given order: 16.6 21.9 17.8 16.4 A^3/atom.